# 1
SmTl2BS4: optimized geometry, PBE.

Calculated values
Space group = No. 15

The structure in POSCAR format:
```
SmTl2BS4
1.0
8.7709 -0.7734 0.1826
-0.7796 8.7704 0.1826
-3.7781 -3.7808 6.1469
Tl B S Sm
4 2 8 2
Direct
0.5000 0.0000 0.5000 Tl
0.0000 0.0000 0.5000 Tl
0.5000 0.5000 0.0000 Tl
0.5000 0.0000 0.0000 Tl
0.5000 0.5000 0.5000 B
0.0000 0.0000 0.0000 B
0.8186 0.2664 0.5612 S
0.3491 0.3846 0.5295 S
0.6509 0.6154 0.4705 S
0.1814 0.7336 0.4388 S
0.8846 0.8491 0.0295 S
0.2336 0.6814 0.9388 S
0.1154 0.1509 0.9705 S
0.7664 0.3186 0.0612 S
0.0000 0.5000 0.0000 Sm
0.0000 0.5000 0.5000 Sm
```

---

# 2
SnBS2: optimized geometry, PBE.

Calculated values
Space group = No. 225
D(E_F) = 0.355 states/eV/atom

The structure in POSCAR format:
```
SnBS2
1.0
0.4392 -4.3401 1.4664
1.8307 -0.8579 4.1343
-2.6615 -1.5546 3.4175
S B Sn
2 1 1
Direct
0.2500 0.2500 0.2500 S
0.7500 0.7500 0.7500 S
0.0000 0.0000 0.0000 B
0.5000 0.5000 0.5000 Sn
```

---

# 3
SnB4S7: optimized geometry, PBE.

Calculated values
Space group = No. 31
D(E_F) = 0.000 states/eV/atom

The structure in POSCAR format:
```
SnB4S7
1.0
5.3374 0.0000 0.0000
0.0000 5.5188 0.0000
0.0000 0.0000 13.3831
S B Sn
14 8 2
Direct
0.5027 0.3331 0.8722 S
0.0027 0.6669 0.6278 S
0.0027 0.6669 0.3722 S
0.9662 0.1622 0.2611 S
0.4667 0.2902 0.3720 S
0.5027 0.3331 0.1278 S
0.9667 0.7098 0.8720 S
0.4662 0.8378 0.7611 S
0.9948 0.1887 0.5000 S
0.4662 0.8378 0.2389 S
0.9667 0.7098 0.1280 S
0.9662 0.1622 0.7389 S
0.4948 0.8113 0.0000 S
0.4667 0.2902 0.6280 S
0.5895 0.1706 0.2484 B
0.0895 0.8294 0.7484 B
0.1102 0.3365 0.3746 B
0.5895 0.1706 0.7516 B
0.6102 0.6635 0.1254 B
0.0895 0.8294 0.2516 B
0.6102 0.6635 0.8746 B
0.1102 0.3365 0.6254 B
0.8894 0.1258 0.0000 Sn
0.3894 0.8742 0.5000 Sn
```

---

# 4
SnB2S: optimized geometry, PBE.

Calculated values
Relative energy among the computed polymorphs = 0 meV per atom
Space group = No. 122
D(E_F) = 0.000 states/eV/atom

The structure in POSCAR format:
```
SnB2S
1.0
4.9386 0.0000 0.0000
0.0000 4.9386 0.0000
2.4693 2.4693 4.7329
B Sn S
4 2 2
Direct
0.3750 0.4299 0.7500 B
0.5701 0.1250 0.2500 B
0.1799 0.6250 0.2500 B
0.8750 0.8201 0.7500 B
0.7500 0.2500 0.5000 Sn
0.0000 0.0000 0.0000 Sn
0.2500 0.7500 0.5000 S
0.5000 0.5000 0.0000 S
```

---

# 5
Sn2BS: optimized geometry, PBE.

Calculated values
Relative energy among the computed polymorphs = 0 meV per atom
Space group = No. 122
D(E_F) = 0.708 states/eV/atom

The structure in POSCAR format:
```
Sn2BS
1.0
-0.8266 5.5788 1.2227
-4.2854 -1.4226 3.5935
1.0882 1.6986 6.6037
Sn S B
4 2 2
Direct
0.8750 0.8071 0.7500 Sn
0.1929 0.6250 0.2500 Sn
0.3750 0.4429 0.7500 Sn
0.5571 0.1250 0.2500 Sn
0.0000 0.0000 0.0000 S
0.7500 0.2500 0.5000 S
0.2500 0.7500 0.5000 B
0.5000 0.5000 0.0000 B
```

---

# 6
SnBS3: optimized geometry, PBE.

Calculated values
Space group = No. 221
D(E_F) = 0.638 states/eV/atom

The structure in POSCAR format:
```
SnBS3
1.0
4.9876 0.0000 0.0000
0.0000 4.9876 0.0000
0.0000 0.0000 4.9876
S B Sn
3 1 1
Direct
0.0000 0.0000 0.5000 S
0.5000 0.0000 0.0000 S
0.0000 0.5000 0.0000 S
0.5000 0.5000 0.5000 B
0.0000 0.0000 0.0000 Sn
```

---

# 7
SnB2S: optimized geometry, PBE.

Calculated values
Relative energy among the computed polymorphs = 1322 meV per atom
Space group = No. 225
D(E_F) = 0.713 states/eV/atom

The structure in POSCAR format:
```
SnB2S
1.0
1.8076 -3.5407 -1.6796
-1.1257 -3.9000 1.4656
-2.3374 -2.6459 -2.4821
S B Sn
1 2 1
Direct
0.0000 0.0000 0.0000 S
0.7500 0.7500 0.7500 B
0.2500 0.2500 0.2500 B
0.5000 0.5000 0.5000 Sn
```

---

# 8
SnBS2: optimized geometry, PBE.

Calculated values
Space group = No. 122
D(E_F) = 0.168 states/eV/atom

The structure in POSCAR format:
```
SnBS2
1.0
-2.6632 5.0155 2.0216
-2.7699 0.6701 -5.3116
-5.8881 0.6059 -0.2734
B S Sn
2 4 2
Direct
0.2500 0.7500 0.5000 B
0.5000 0.5000 0.0000 B
0.4958 0.1250 0.2500 S
0.8750 0.7458 0.7500 S
0.2542 0.6250 0.2500 S
0.3750 0.5042 0.7500 S
0.0000 0.0000 0.0000 Sn
0.7500 0.2500 0.5000 Sn
```

---

# 9
SnBS3: optimized geometry, PBE.

Calculated values
Space group = No. 221
D(E_F) = 0.311 states/eV/atom

The structure in POSCAR format:
```
SnBS3
1.0
4.3209 0.0000 0.0000
0.0000 4.3209 0.0000
0.0000 0.0000 4.3209
S Sn B
3 1 1
Direct
0.5000 0.0000 0.0000 S
0.0000 0.0000 0.5000 S
0.0000 0.5000 0.0000 S
0.5000 0.5000 0.5000 Sn
0.0000 0.0000 0.0000 B
```

---

# 10
SnB2S6: optimized geometry, PBE.

Calculated values
Space group = No. 15
D(E_F) = 0.280 states/eV/atom

The structure in POSCAR format:
```
SnB2S6
1.0
5.9970 -0.1403 -0.1359
1.5367 7.6615 0.6331
1.5367 0.8810 7.6369
S Sn B
12 2 4
Direct
0.3336 0.4403 0.8928 S
0.8336 0.8928 0.4403 S
0.3807 0.7463 0.6109 S
0.6193 0.2537 0.3891 S
0.1664 0.1072 0.5597 S
0.3468 0.0167 0.2007 S
0.6532 0.9833 0.7993 S
0.1532 0.7993 0.9833 S
0.8468 0.2007 0.0167 S
0.8807 0.6109 0.7463 S
0.6664 0.5597 0.1072 S
0.1193 0.3891 0.2537 S
0.7500 0.8632 0.1368 Sn
0.2500 0.1368 0.8632 Sn
0.1585 0.6644 0.8090 B
0.8415 0.3356 0.1910 B
0.3415 0.1910 0.3356 B
0.6585 0.8090 0.6644 B
```

---

# 11
SnBS: optimized geometry, PBE.

Calculated values
Space group = No. 11
D(E_F) = 0.162 states/eV/atom

The structure in POSCAR format:
```
SnBS
1.0
-0.3978 -3.5361 1.4017
4.1690 1.5484 5.0894
-4.9651 0.8554 0.7488
B S Sn
2 2 2
Direct
0.7500 0.1822 0.3020 B
0.2500 0.8178 0.6980 B
0.7500 0.3128 0.6896 S
0.2500 0.6872 0.3104 S
0.7500 0.7912 0.9596 Sn
0.2500 0.2088 0.0404 Sn
```

---

# 12
Sn2BS: optimized geometry, PBE.

Calculated values
Relative energy among the computed polymorphs = 583 meV per atom
Space group = No. 225
D(E_F) = 0.643 states/eV/atom

The structure in POSCAR format:
```
Sn2BS
1.0
0.0000 3.3805 3.3805
3.3805 0.0000 3.3805
3.3805 3.3805 0.0000
Sn S B
2 1 1
Direct
0.2500 0.2500 0.2500 Sn
0.7500 0.7500 0.7500 Sn
0.5000 0.5000 0.5000 S
0.0000 0.0000 0.0000 B
```

---

# 13
SnB2TeS: optimized geometry, PBE.

Calculated values
Space group = No. 123
D(E_F) = 0.490 states/eV/atom

The structure in POSCAR format:
```
SnB2TeS
1.0
-4.3319 -1.3475 -0.3971
1.1977 -4.4984 2.1991
-0.9225 1.7579 4.0984
B S Sn Te
2 1 1 1
Direct
0.0000 0.0000 0.5000 B
0.5000 0.0000 0.0000 B
0.0000 0.5000 0.0000 S
0.0000 0.0000 0.0000 Sn
0.5000 0.5000 0.5000 Te
```

---

# 14
Tl2SnBS: optimized geometry, PBE.

Calculated values
Space group = No. 123
D(E_F) = 0.680 states/eV/atom

The structure in POSCAR format:
```
Tl2SnBS
1.0
5.9067 0.0000 0.0000
0.0000 5.0524 0.0000
0.0000 0.0000 5.9067
B Tl Sn S
1 2 1 1
Direct
0.5000 0.5000 0.5000 B
0.0000 0.0000 0.5000 Tl
0.5000 0.0000 0.0000 Tl
0.0000 0.0000 0.0000 Sn
0.0000 0.5000 0.0000 S
```

---

# 15
Sr2BS4: optimized geometry, PBE.

Calculated values
Space group = No. 11
D(E_F) = 0.233 states/eV/atom

The structure in POSCAR format:
```
Sr2BS4
1.0
6.7101 0.0000 0.1623
0.0000 5.6445 0.0000
-2.2775 0.0000 8.5312
S Sr B
8 4 2
Direct
0.9252 0.2500 0.6600 S
0.8398 0.2500 0.0121 S
0.5149 0.0082 0.7319 S
0.1602 0.7500 0.9879 S
0.4851 0.9918 0.2681 S
0.4851 0.5082 0.2681 S
0.0748 0.7500 0.3400 S
0.5149 0.4918 0.7319 S
0.7752 0.7500 0.5477 Sr
0.2682 0.2500 0.9540 Sr
0.2248 0.2500 0.4523 Sr
0.7318 0.7500 0.0460 Sr
0.2659 0.7500 0.2054 B
0.7341 0.2500 0.7946 B
```

---

# 16
SrBS3: optimized geometry, PBE.

Calculated values
Relative energy among the computed polymorphs = 2102 meV per atom
Space group = No. 221
D(E_F) = 0.529 states/eV/atom

The structure in POSCAR format:
```
SrBS3
1.0
5.6634 0.0000 0.0000
0.0000 5.6634 0.0000
0.0000 0.0000 5.6634
S Sr B
3 1 1
Direct
0.5000 0.0000 0.0000 S
0.0000 0.5000 0.0000 S
0.0000 0.0000 0.5000 S
0.0000 0.0000 0.0000 Sr
0.5000 0.5000 0.5000 B
```

---

# 17
SrB4S7: optimized geometry, PBE.

Calculated values
Space group = No. 31
D(E_F) = 0.000 states/eV/atom

The structure in POSCAR format:
```
SrB4S7
1.0
-4.2571 1.6519 -2.7541
2.8521 -0.5020 -4.7096
-4.1247 -12.5624 -1.1590
B S Sr
8 14 2
Direct
0.5966 0.6718 0.8768 B
0.0966 0.3282 0.6232 B
0.0774 0.8250 0.7479 B
0.0774 0.8250 0.2521 B
0.5774 0.1750 0.7521 B
0.5774 0.1750 0.2479 B
0.5966 0.6718 0.1232 B
0.0966 0.3282 0.3768 B
0.9547 0.1581 0.7390 S
0.4778 0.8166 0.0000 S
0.4549 0.2847 0.6260 S
0.9778 0.1834 0.5000 S
0.0038 0.6630 0.3748 S
0.4547 0.8419 0.2390 S
0.5038 0.3370 0.8748 S
0.9549 0.7153 0.1260 S
0.0038 0.6630 0.6252 S
0.9547 0.1581 0.2610 S
0.5038 0.3370 0.1252 S
0.4549 0.2847 0.3740 S
0.9549 0.7153 0.8740 S
0.4547 0.8419 0.7610 S
0.0023 0.1908 0.0000 Sr
0.5023 0.8092 0.5000 Sr
```

---

# 18
SrB2S: optimized geometry, PBE.

Calculated values
Space group = No. 141
D(E_F) = 0.176 states/eV/atom

The structure in POSCAR format:
```
SrB2S
1.0
3.8673 0.0000 0.0000
0.0000 3.8673 0.0000
1.9337 1.9337 8.6492
S B Sr
2 4 2
Direct
0.5000 0.5000 0.0000 S
0.2500 0.7500 0.5000 S
0.3750 0.1250 0.2500 B
0.3750 0.6250 0.2500 B
0.8750 0.6250 0.7500 B
0.3750 0.6250 0.7500 B
0.0000 0.0000 0.0000 Sr
0.7500 0.2500 0.5000 Sr
```

---

# 19
SrB2S4: optimized geometry, PBE.

Calculated values
Relative energy among the computed polymorphs = 15 meV per atom
Space group = No. 148
D(E_F) = 0.000 states/eV/atom

The structure in POSCAR format:
```
SrB2S4
1.0
-7.9552 -3.0915 -2.7805
-0.9221 -4.5187 -7.7010
-1.9009 -8.7710 -0.1728
S B Sr
12 6 3
Direct
0.0477 0.3737 0.8562 S
0.5501 0.8150 0.3887 S
0.9523 0.6263 0.1438 S
0.8150 0.3887 0.5501 S
0.3737 0.8562 0.0477 S
0.6263 0.1438 0.9523 S
0.1850 0.6113 0.4499 S
0.6113 0.4499 0.1850 S
0.4499 0.1850 0.6113 S
0.1438 0.9523 0.6263 S
0.3887 0.5501 0.8150 S
0.8562 0.0477 0.3737 S
0.7640 0.6135 0.3655 B
0.6345 0.2360 0.3865 B
0.6135 0.3655 0.7640 B
0.3655 0.7640 0.6135 B
0.2360 0.3865 0.6345 B
0.3865 0.6345 0.2360 B
0.1908 0.1908 0.1908 Sr
0.0000 0.0000 0.0000 Sr
0.8092 0.8092 0.8092 Sr
```

---

# 20
SrBS3: optimized geometry, PBE.

Calculated values
Relative energy among the computed polymorphs = 0 meV per atom
Space group = No. 11
D(E_F) = 0.244 states/eV/atom

The structure in POSCAR format:
```
SrBS3
1.0
4.3430 0.0000 -0.5419
0.0000 6.5088 0.0000
-1.0714 0.0000 8.6458
Sr B S
2 2 6
Direct
0.7525 0.7500 0.1739 Sr
0.2475 0.2500 0.8261 Sr
0.1808 0.2500 0.2600 B
0.8192 0.7500 0.7400 B
0.1380 0.7500 0.9212 S
0.6847 0.9981 0.6593 S
0.3153 0.4981 0.3407 S
0.3153 0.0019 0.3407 S
0.6847 0.5019 0.6593 S
0.8620 0.2500 0.0788 S
```

---

# 21
SrB2S4: optimized geometry, PBE.

Calculated values
Relative energy among the computed polymorphs = 58 meV per atom
Space group = No. 87
D(E_F) = 0.000 states/eV/atom

The structure in POSCAR format:
```
SrB2S4
1.0
5.8072 -0.4522 0.0000
-3.1924 4.8721 0.0000
-1.3074 -2.2099 5.2283
S B Sr
4 2 1
Direct
0.3454 0.1204 0.4657 S
0.6546 0.8796 0.5343 S
0.8796 0.3454 0.2250 S
0.1204 0.6546 0.7750 S
0.2500 0.7500 0.5000 B
0.7500 0.2500 0.5000 B
0.5000 0.5000 0.0000 Sr
```

---

# 22
SrB2S4: optimized geometry, PBE.

Calculated values
Relative energy among the computed polymorphs = 0 meV per atom
Space group = No. 66
D(E_F) = 0.000 states/eV/atom

The structure in POSCAR format:
```
SrB2S4
1.0
-2.3152 4.3741 1.6359
2.6518 -3.2066 4.0228
8.7944 5.2559 -1.6075
Sr S B
2 8 4
Direct
0.5000 0.0000 0.2500 Sr
0.5000 0.0000 0.7500 Sr
0.1441 0.7775 0.5000 S
0.6334 0.7775 0.0000 S
0.0000 0.5000 0.8615 S
0.3666 0.2225 0.0000 S
0.8559 0.2225 0.5000 S
0.0000 0.5000 0.1385 S
0.5000 0.5000 0.3615 S
0.5000 0.5000 0.6385 S
0.2460 0.4928 0.0000 B
0.7533 0.5072 0.5000 B
0.2467 0.4928 0.5000 B
0.7540 0.5072 0.0000 B
```

---

| no. | total DFT energy (no corrections) (eV/cell) | formation energy without anion corrections (eV/atom) |
| --- | --- | --- |
| 1 | -76.16 | -0.680 |
| 2 | -15.07 | 0.965 |
| 3 | -129.00 | -0.408 |
| 4 | -40.08 | 0.361 |
| 5 | -35.74 | 0.235 |
| 6 | -16.72 | 1.269 |
| 7 | -14.75 | 1.683 |
| 8 | -37.54 | 0.041 |
| 9 | -21.23 | 0.366 |
| 10 | -86.47 | -0.124 |
| 11 | -28.32 | 0.216 |
| 12 | -15.54 | 0.818 |
| 13 | -17.26 | 1.474 |
| 14 | -13.40 | 1.229 |
| 15 | -71.26 | -1.297 |
| 16 | -14.69 | 1.211 |
| 17 | -131.57 | -0.708 |
| 18 | -36.71 | 0.202 |
| 19 | -114.45 | -0.943 |
| 20 | -50.39 | -0.891 |
| 21 | -37.85 | -0.900 |
| 22 | -76.50 | -0.958 |